VASP calculation (GGA-PBE) on crystalline PrPa2P at its relaxed geometry.

Lattice parameters (Å, degrees): 3.491 3.491 30.897 90.00 90.00 120.00
Fractional coordinates of all 12 atoms:
1 Pr 0.000 0.000 0.000
2 Pr 0.333 0.667 0.667
3 Pr 0.667 0.333 0.333
4 Pa 0.000 0.000 0.107
5 Pa 0.000 0.000 0.893
6 Pa 0.333 0.667 0.559
7 Pa 0.333 0.667 0.774
8 Pa 0.667 0.333 0.226
9 Pa 0.667 0.333 0.441
10 P 0.000 0.000 0.500
11 P 0.333 0.667 0.167
12 P 0.667 0.333 0.833

Results
* mass density: 9683 kg/m3
* energy relative to the elements: -0.15 eV/atom
* symmetry: No. 166
* total magnetization: 0.005 μB/cell